{"formula": "KMnAgF4", "functional": "PBE with a Hubbard U", "state": "relaxed", "lattice_angstrom": [[4.5458, 0.0000, 0.0000], [0.0000, 6.3368, 0.0000], [-0.7996, 0.0000, 8.0684]], "species": ["K", "K", "Mn", "Mn", "Ag", "Ag", "F", "F", "F", "F", "F", "F", "F", "F"], "frac_coords": [[0.2006, 0.2500, 0.1043], [0.7994, 0.7500, 0.8957], [0.3150, 0.2500, 0.7085], [0.6850, 0.7500, 0.2915], [0.2416, 0.7500, 0.5954], [0.7584, 0.2500, 0.4046], [0.2090, 0.7500, 0.2958], [0.2655, 0.2500, 0.4531], [0.2876, 0.5171, 0.8420], [0.2876, 0.9829, 0.8420], [0.7124, 0.0171, 0.1580], [0.7124, 0.4829, 0.1580], [0.7345, 0.7500, 0.5469], [0.7910, 0.2500, 0.7042]], "energy_ha_per_atom": -0.1782, "n_ef_per_ev_atom": 0.00}